# Be2OsCl

Crystalline Be2OsCl at its relaxed geometry (GGA-PBE, the Alexandria database).

As for the energy relative to the elements, uncorrected: 0.12 eV per atom. The value obtained for the energy relative to the lowest polymorph listed for this composition is 97 meV per atom.

The space group is R-3m (No. 166, hexagonal axes) and the conventional cell measures 2.9119, 2.9119 and 20.3409 Å, with angles of 90.00, 90.00 and 120.00 degrees. Symmetry generates all atoms from Be at (0.0000, 0.0000, 0.2482), Os at (0.0000, 0.0000, 0.5000) and Cl at (0.0000, 0.0000, 0.0000).

# BeOsCl2

Crystalline BeOsCl2 at its relaxed geometry (GGA-PBE, the Alexandria database).

As for the energy relative to the elements, uncorrected: 1.20 eV per atom. The value obtained for the energy relative to the lowest polymorph listed for this composition is 1256 meV per atom.

The space group is P4/mmm (No. 123) and the conventional cell measures 4.361, 4.361 and 2.992 Å, with angles of 90.00, 90.00 and 90.00 degrees. Symmetry generates all atoms from Be at (0.000, 0.000, 0.000), Os at (0.500, 0.500, 0.000) and Cl at (0.000, 0.500, 0.500).

# Be2OsCl

Crystalline Be2OsCl at its relaxed geometry (GGA-PBE, the Alexandria database).

As for the energy relative to the elements, uncorrected: 0.02 eV per atom. The value obtained for the energy relative to the lowest polymorph listed for this composition is 0 meV per atom.

The space group is Pmm2 (No. 25) and the conventional cell measures 2.914, 2.984 and 6.580 Å, with angles of 90.00, 90.00 and 90.00 degrees. Symmetry generates all atoms from Be at (0.000, 0.000, 0.000), Be at (0.000, 0.500, 0.428), Os at (0.500, 0.000, 0.279) and Cl at (0.000, 0.500, 0.788).